Compound: Co2CuAsO6
Source: the Alexandria database
Functional: PBE with a Hubbard U
Structure: optimized geometry

Unit cell a=4.906 b=5.043 c=5.645 alpha=58.99 beta=62.85 gamma=59.71
Atoms (fractional coordinates):
1 O 0.113 0.402 0.769
2 Co 0.543 0.507 0.411
3 O 0.382 0.741 0.778
4 Co 0.008 0.007 0.984
5 As 0.324 0.331 0.022
6 O 0.607 0.203 0.233
7 O 0.216 0.941 0.239
8 O 0.964 0.580 0.217
9 O 0.706 0.137 0.785
10 Cu 0.798 0.814 0.578

Properties
Its uncorrected energy is -5.827 eV per atom. As for the spin magnetization: 0.40 μB per atom.